SrSmFe | OQMD via LeMat-Bulk | PBE | optimized geometry; magnetic moment = 1.0 μB per formula unit; raw total energy = -3.792 eV per atom
1.0
7.1151 0.0000 0.0000
0.0000 7.1151 0.0000
0.0000 0.0000 7.1151
Sr Sm Fe
4 4 4
Direct
0.0000 0.0000 0.0000
0.0000 0.5000 0.5000
0.5000 0.0000 0.5000
0.5000 0.5000 0.0000
0.2500 0.2500 0.7500
0.2500 0.7500 0.2500
0.7500 0.2500 0.2500
0.7500 0.7500 0.7500
0.0000 0.0000 0.5000
0.0000 0.5000 0.0000
0.5000 0.0000 0.0000
0.5000 0.5000 0.5000